## ErMn2BiO6 (PBE with a Hubbard U)

Data for a geometry-optimized ErMn2BiO6 structure.

Properties
Total DFT energy (no corrections) in eV per atom: -7.287
Total moment in μB/f.u.: 8.00

Lattice parameters (Å, degrees): 5.665 5.665 5.665 58.58 58.58 58.58
Element x y z (fractional)
Er (0.000, 0.000, 0.000)
Mn (0.285, 0.285, 0.285)
Mn (0.781, 0.781, 0.781)
Bi (0.505, 0.505, 0.505)
O (0.072, 0.637, 0.419)
O (0.121, 0.554, 0.964)
O (0.419, 0.072, 0.637)
O (0.554, 0.964, 0.121)
O (0.637, 0.419, 0.072)
O (0.964, 0.121, 0.554)